An optimized crystal structure of K2Sc2SbSe6. Source: Alexandria via LeMat-Bulk, functional PBE.

Geometry as POSCAR:
```
K2Sc2SbSe6
1.0
3.432 -5.990 0.000
3.432 5.990 0.000
-2.266 0.000 7.885
K Sc Sb Se
2 2 1 6
direct
0.165 0.835 0.000
0.835 0.165 0.000
0.332 0.668 0.500
0.668 0.332 0.500
0.000 0.000 0.500
0.065 0.404 0.694
0.277 0.277 0.307
0.404 0.065 0.694
0.596 0.935 0.306
0.723 0.723 0.693
0.935 0.596 0.306
```

E_tot: -4.854 eV/atom
Crystal system: monoclinic
Raw formation energy: -1.23 eV/atom